VASP calculation (PBE) on a relaxed CaCuBi crystal.

## Properties
Electronic total energy, eV/atom: -3.7532
Space-group type: No. 8
N(E_F), states/eV/f.u.: 0.406

Cell lengths 8.794, 4.615, 4.617 Å; angles 59.99, 89.99, 74.78 degrees
Positions (direct):
Ca (0.524, 0.030, 0.888)
Ca (0.025, 0.363, 0.722)
Bi (0.291, 0.852, 0.477)
Bi (0.770, 0.200, 0.303)
Cu (0.257, 0.541, 0.133)
Cu (0.671, 0.600, 0.603)

VASP calculation (PBE) on a relaxed CsNaReCl6 crystal.

## Properties
Space-group type: No. 163
Raw formation energy, eV per formula unit: -11.1

Cell lengths 6.985, 6.985, 14.937 Å; angles 90.00, 90.00, 120.00 degrees
Positions (direct):
Cs (0.000, 0.000, 0.000)
Cs (0.000, 0.000, 0.500)
Na (0.333, 0.667, 0.250)
Na (0.667, 0.333, 0.750)
Re (0.667, 0.333, 0.250)
Re (0.333, 0.667, 0.750)
Cl (0.654, 0.604, 0.157)
Cl (0.950, 0.346, 0.157)
Cl (0.346, 0.950, 0.657)
Cl (0.050, 0.654, 0.843)
Cl (0.396, 0.346, 0.343)
Cl (0.950, 0.604, 0.343)
Cl (0.604, 0.950, 0.843)
Cl (0.654, 0.050, 0.343)
Cl (0.050, 0.396, 0.657)
Cl (0.396, 0.050, 0.157)
Cl (0.604, 0.654, 0.657)
Cl (0.346, 0.396, 0.843)

VASP calculation (PBE) on a relaxed Cu2HgI4 crystal.

## Properties
Space-group type: No. 66
N(E_F), states/eV/f.u.: 4.029
Raw formation energy, eV per formula unit: -0.3

Cell lengths 7.256, 7.256, 14.348 Å; angles 90.00, 90.00, 66.74 degrees
Positions (direct):
Cu (0.500, 0.500, 0.500)
Cu (0.000, 0.500, 0.500)
Cu (0.500, 0.500, 0.000)
Cu (0.500, 0.000, 0.000)
Hg (0.000, 0.500, 0.000)
Hg (0.500, 0.000, 0.500)
I (0.551, 0.228, 0.128)
I (0.772, 0.449, 0.628)
I (0.772, 0.449, 0.372)
I (0.551, 0.228, 0.872)
I (0.449, 0.772, 0.128)
I (0.228, 0.551, 0.372)
I (0.228, 0.551, 0.628)
I (0.449, 0.772, 0.872)

VASP calculation (PBE) on a relaxed Cr2PtCl crystal.

## Properties
Space-group type: No. 216
N(E_F), states/eV/f.u.: 5.090
Raw formation energy, eV per formula unit: 2.9

Cell lengths 4.613, 4.613, 4.613 Å; angles 60.00, 60.00, 60.00 degrees
Positions (direct):
Cr (0.000, 0.000, 0.000)
Cr (0.250, 0.250, 0.250)
Pt (0.750, 0.750, 0.750)
Cl (0.500, 0.500, 0.500)

VASP calculation (PBE) on a relaxed InSiI2O crystal.

## Properties
Space-group type: No. 123
N(E_F), states/eV/f.u.: 2.554
Raw formation energy, eV per formula unit: 0.5

Cell lengths 6.026, 6.026, 3.941 Å; angles 90.00, 90.00, 90.00 degrees
Positions (direct):
I (0.000, 0.500, 0.000)
I (0.500, 0.000, 0.000)
Si (0.500, 0.500, 0.500)
O (0.000, 0.000, 0.500)
In (0.000, 0.000, 0.000)

VASP calculation (PBE) on a relaxed Rb2TcPtAu crystal.

## Properties
Electronic total energy, eV/atom: -3.1178
Space-group type: No. 123
N(E_F), states/eV/f.u.: 4.755

Cell lengths 6.320, 5.142, 6.320 Å; angles 90.00, 90.00, 90.00 degrees
Positions (direct):
Rb (0.000, 0.000, 0.500)
Rb (0.500, 0.000, 0.000)
Au (0.000, 0.000, 0.000)
Tc (0.500, 0.500, 0.500)
Pt (0.000, 0.500, 0.000)

VASP calculation (PBE) on a relaxed Be2TlFe crystal.

## Properties
Electronic total energy, eV/atom: -4.0975
Space-group type: No. 99
N(E_F), states/eV/f.u.: 2.802

Cell lengths 2.943, 2.943, 6.115 Å; angles 90.00, 90.00, 90.00 degrees
Positions (direct):
Be (0.000, 0.000, 0.072)
Be (0.500, 0.500, 0.256)
Tl (0.500, 0.500, 0.749)
Fe (0.000, 0.000, 0.423)

VASP calculation (PBE) on a relaxed Cs2KLiHg crystal.

## Properties
Electronic total energy, eV/atom: -1.0224
Space-group type: No. 123
N(E_F), states/eV/f.u.: 4.510

Cell lengths 7.507, 7.507, 5.629 Å; angles 90.00, 90.00, 90.00 degrees
Positions (direct):
Cs (0.000, 0.500, 0.000)
Cs (0.500, 0.000, 0.000)
K (0.500, 0.500, 0.500)
Hg (0.000, 0.000, 0.000)
Li (0.000, 0.000, 0.500)

VASP calculation (PBE) on a relaxed Na5Cd4Sb4 crystal.

## Properties
Space-group type: No. 87
N(E_F), states/eV/f.u.: 4.315
Raw formation energy, eV per formula unit: -3.6

Cell lengths 4.607, 9.232, 9.232 Å; angles 86.43, 75.55, 75.55 degrees
Positions (direct):
Na (0.708, 0.926, 0.659)
Na (0.292, 0.074, 0.341)
Na (0.000, 0.000, 0.000)
Na (0.634, 0.659, 0.074)
Na (0.366, 0.341, 0.926)
Cd (0.891, 0.521, 0.698)
Cd (0.588, 0.302, 0.521)
Cd (0.109, 0.479, 0.302)
Cd (0.412, 0.698, 0.479)
Sb (0.749, 0.307, 0.196)
Sb (0.251, 0.693, 0.804)
Sb (0.945, 0.804, 0.307)
Sb (0.055, 0.196, 0.693)

VASP calculation (PBE) on a relaxed Na2Ca8Au crystal.

## Properties
Electronic total energy, eV/atom: -2.1035
Space-group type: No. 12
N(E_F), states/eV/f.u.: 9.619

Cell lengths 4.050, 8.069, 13.553 Å; angles 98.27, 98.59, 90.00 degrees
Positions (direct):
Na (0.204, 0.857, 0.409)
Na (0.796, 0.143, 0.591)
Ca (0.610, 0.555, 0.219)
Ca (0.391, 0.946, 0.782)
Ca (0.207, 0.346, 0.413)
Ca (0.999, 0.736, 0.998)
Ca (0.793, 0.654, 0.587)
Ca (0.609, 0.054, 0.218)
Ca (0.390, 0.445, 0.781)
Ca (0.001, 0.264, 0.002)
Au (0.500, 0.000, 0.000)

VASP calculation (PBE) on a relaxed AcPm7Tm3 crystal.

## Properties
Electronic total energy, eV/atom: -4.4092
Space-group type: No. 156
N(E_F), states/eV/f.u.: 17.269

Cell lengths 8.690, 7.241, 7.241 Å; angles 120.00, 90.00, 90.00 degrees
Positions (direct):
Ac (0.443, 0.333, 0.667)
Pm (0.106, 0.166, 0.834)
Pm (0.106, 0.166, 0.333)
Pm (0.122, 0.667, 0.333)
Pm (0.458, 0.833, 0.167)
Pm (0.458, 0.335, 0.167)
Pm (0.458, 0.833, 0.665)
Pm (0.106, 0.667, 0.834)
Tm (0.787, 0.502, 0.498)
Tm (0.787, 0.502, 0.004)
Tm (0.787, 0.996, 0.498)

VASP calculation (PBE) on a relaxed NaLuCl4 crystal.

## Properties
Space-group type: No. 60
N(E_F), states/eV/f.u.: 0.000
Raw formation energy, eV per formula unit: -12.8

Cell lengths 6.377, 6.615, 16.065 Å; angles 90.00, 90.00, 90.00 degrees
Positions (direct):
Na (0.000, 0.250, 0.319)
Na (0.500, 0.750, 0.181)
Na (0.000, 0.750, 0.681)
Na (0.500, 0.250, 0.819)
Lu (0.000, 0.250, 0.072)
Lu (0.500, 0.250, 0.572)
Lu (0.000, 0.750, 0.928)
Lu (0.500, 0.750, 0.428)
Cl (0.265, 0.600, 0.319)
Cl (0.773, 0.426, 0.951)
Cl (0.273, 0.574, 0.549)
Cl (0.727, 0.926, 0.549)
Cl (0.765, 0.400, 0.181)
Cl (0.235, 0.600, 0.819)
Cl (0.735, 0.900, 0.319)
Cl (0.235, 0.100, 0.181)
Cl (0.265, 0.100, 0.681)
Cl (0.735, 0.400, 0.681)
Cl (0.227, 0.574, 0.049)
Cl (0.765, 0.900, 0.819)
Cl (0.773, 0.926, 0.049)
Cl (0.273, 0.074, 0.451)
Cl (0.727, 0.426, 0.451)
Cl (0.227, 0.074, 0.951)